5
Lattice="-2.478 3.565 2.969 -4.472 -3.031 -0.094 1.604 -2.500 4.340" Properties=species:S:1:pos:R:3 comment="SiBiWAu2, relaxed, DFT PBE" dos_at_fermi_per_ev_atom=0.789 crystal_system=tetragonal e_form_raw_ev_per_atom=1.987 pbc="T T T"
Si -2.236 -1.515 -0.047
Au 0.802 -1.250 2.170
Au -1.239 1.782 1.485
Bi 0.000 0.000 0.000
W -2.673 -0.983 3.608